Computed, not measured: a geometry-optimized Ac3Cu2NiO9 structure at the PBE+U level of DFT.

Structure (POSCAR):
```
Ac3Cu2NiO9
1.0
-5.152 -0.711 -2.005
4.385 -0.244 -3.433
0.495 -6.722 1.110
O Cu Ni Ac
9 2 1 3
direct
0.167 0.833 0.333
0.000 0.500 0.000
0.500 0.500 0.000
0.335 0.167 0.667
0.167 0.335 0.333
0.833 0.665 0.667
0.500 0.000 0.000
0.833 0.167 0.667
0.665 0.833 0.333
0.333 0.667 0.166
0.667 0.333 0.834
0.000 0.000 0.500
0.333 0.667 0.664
0.667 0.333 0.336
0.000 0.000 0.000
```

For the volume, the calculation gives 12.25 Å³ per atom. For the uncorrected energy, the calculation gives -98.21 eV per cell. The crystal system is trigonal.